[1]
A plane-wave DFT calculation with PBE was carried out for crystalline Na3RhN at its relaxed geometry.

Computed properties:
calculated volume = 101.1 Å³/cell
energy = -15.5 eV per cell
magnetization = 1.8 μB per formula unit
energy relative to the elements, uncorrected = 79 kJ per mole of atoms

Unit cell a=4.6582 b=4.6582 c=4.6582 alpha=90.00 beta=90.00 gamma=90.00
Space group Pm-3m (No. 221)
Unique sites:
Na  0.0000  0.0000  0.5000 (multiplicity 3)
Rh  0.5000  0.5000  0.5000 (multiplicity 1)
N  0.0000  0.0000  0.0000 (multiplicity 1)

***

[2]
A plane-wave DFT calculation with PBE was carried out for crystalline NaRhN at its relaxed geometry.

Computed properties:
calculated volume = 172.1 Å³/cell
energy = -66.3 eV per cell
magnetization = 0.0 μB per formula unit
energy relative to the elements, uncorrected = 13 kJ per mole of atoms

Unit cell a=5.5625 b=5.5625 c=5.5625 alpha=90.00 beta=90.00 gamma=90.00
Space group P2_13 (No. 198)
Unique sites:
Na  0.1491  0.1491  0.1491 (multiplicity 4)
Rh  0.1438  0.3562  0.6438 (multiplicity 4)
N  0.0902  0.5902  0.9098 (multiplicity 4)